(1)
First-principles (PBE) data for a relaxed TlAgW2 crystal, as listed in Alexandria via LeMat-Bulk.

Lattice parameters (Å, degrees): 9.9190 9.9190 9.9190 16.95 16.95 16.95
Last column: nearest neighbours and their distance in Å.
Positions (direct):
Ag 0.2500 0.2500 0.2500  6 W 2.92, 6 Ag 2.92
W 0.9978 0.9978 0.9978  3 Ag 2.92, 6 W 2.92, 3 Tl 3.02
W 0.5022 0.5022 0.5022  3 Ag 2.92, 6 W 2.92, 3 Tl 3.02
Tl 0.7500 0.7500 0.7500  6 Tl 2.92, 6 W 3.02

Summary:
- E (eV per atom) = -6.817
- formation energy from the elements (meV per atom) = 964
- energy relative to the lowest polymorph listed for this composition (eV/atom) = 0.412
- Fermi-level density of states (states/eV/cell) = 4.8
- V (Å³/f.u.) = 72.35



(2)
First-principles (PBE) data for a relaxed Tl2AgW crystal, as listed in Alexandria via LeMat-Bulk.

Lattice parameters (Å, degrees): 5.2564 5.2564 3.0536 90.00 90.00 105.41
Last column: nearest neighbours and their distance in Å.
Positions (direct):
Ag 0.0000 0.5000 0.5000  8 Tl 3.04, 2 Ag 3.05, 2 W 3.19
Tl 0.0000 0.0000 0.0000  4 W 3.04, 4 Ag 3.04, 4 Tl 3.05-3.19
Tl 0.5000 0.5000 0.0000  4 Ag 3.04, 4 W 3.04, 4 Tl 3.05-3.19
W 0.5000 0.0000 0.5000  8 Tl 3.04, 2 W 3.05, 2 Ag 3.19

Summary:
- E (eV per atom) = -4.331
- formation energy from the elements (meV per atom) = 803
- energy relative to the lowest polymorph listed for this composition (eV/atom) = 0.106
- Fermi-level density of states (states/eV/cell) = 2.6
- V (Å³/f.u.) = 81.34



(3)
First-principles (PBE) data for a relaxed TlAgW crystal, as listed in Alexandria via LeMat-Bulk.

Lattice parameters (Å, degrees): 7.8047 7.5933 2.9115 83.22 75.04 21.74
Last column: nearest neighbours and their distance in Å.
Positions (direct):
W 0.3380 0.3380 0.6620  2 Ag 2.82, 4 W 2.91, 2 Tl 3.00
Ag 0.9939 0.9939 0.0061  2 W 2.82, 4 Ag 2.91, 2 Tl 3.05
Tl 0.6680 0.6680 0.3320  6 Tl 2.91-3.23, 2 W 3.00, 2 Ag 3.05

Summary:
- E (eV per atom) = -5.272
- formation energy from the elements (meV per atom) = 784
- energy relative to the lowest polymorph listed for this composition (eV/atom) = 0.025
- Fermi-level density of states (states/eV/cell) = 1.1
- V (Å³/f.u.) = 58.07



(4)
First-principles (PBE) data for a relaxed TlAgW4 crystal, as listed in Alexandria via LeMat-Bulk.

Lattice parameters (Å, degrees): 5.3973 5.3973 5.3973 60.00 60.00 60.00
Last column: nearest neighbours and their distance in Å.
Positions (direct):
Ag 0.7500 0.7500 0.7500  12 W 3.16, 4 Tl 3.31
W 0.8714 0.3762 0.3762  6 W 2.67-2.72
W 0.3762 0.8714 0.3762  6 W 2.67-2.72
W 0.3762 0.3762 0.8714  6 W 2.67-2.72
W 0.3762 0.3762 0.3762  6 W 2.67-2.72
Tl 0.0000 0.0000 0.0000  12 W 3.17, 4 Ag 3.31

Summary:
- E (eV per atom) = -8.609
- formation energy from the elements (meV per atom) = 896
- Fermi-level density of states (states/eV/cell) = 6.8
- V (Å³/f.u.) = 111.18



(5)
First-principles (PBE) data for a relaxed TlAgW3 crystal, as listed in Alexandria via LeMat-Bulk.

Lattice parameters (Å, degrees): 4.8299 4.8299 4.8299 90.00 90.00 90.00
Last column: nearest neighbours and their distance in Å.
Positions (direct):
W 0.0000 0.0000 0.5000  2 Ag 2.41
W 0.5000 0.0000 0.0000  2 Ag 2.41
W 0.0000 0.5000 0.0000  2 Ag 2.41
Tl 0.5000 0.5000 0.5000  12 W 3.42
Ag 0.0000 0.0000 0.0000  6 W 2.41

Summary:
- E (eV per atom) = -6.048
- formation energy from the elements (meV per atom) = 2768
- energy relative to the lowest polymorph listed for this composition (eV/atom) = 0.000
- Fermi-level density of states (states/eV/cell) = 7.4
- V (Å³/f.u.) = 112.67



(6)
First-principles (PBE) data for a relaxed TlAgW2 crystal, as listed in Alexandria via LeMat-Bulk.

Lattice parameters (Å, degrees): 4.6430 4.6430 4.6430 60.00 60.00 60.00
Last column: nearest neighbours and their distance in Å.
Positions (direct):
W 0.7500 0.7500 0.7500  4 Ag 2.84, 4 Tl 2.84
W 0.2500 0.2500 0.2500  4 Tl 2.84, 4 Ag 2.84
Tl 0.5000 0.5000 0.5000  8 W 2.84
Ag 0.0000 0.0000 0.0000  8 W 2.84

Summary:
- E (eV per atom) = -6.520
- formation energy from the elements (meV per atom) = 1261
- energy relative to the lowest polymorph listed for this composition (eV/atom) = 0.709
- Fermi-level density of states (states/eV/cell) = 5.1
- V (Å³/f.u.) = 70.78